Tm5Tl2Pd | PBE | optimized geometry

Cell and atoms, written as POSCAR:
```
Tm5Tl2Pd
1.0
7.0568 0.0000 0.0000
0.0000 12.4635 0.0000
0.0000 0.0000 4.7932
Tm Tl Pd
10 4 2
direct
0.0000 0.0000 0.0000
0.1275 0.2837 0.0000
0.1772 0.5871 0.5000
0.3228 0.0871 0.5000
0.3725 0.7837 0.0000
0.5000 0.5000 0.0000
0.6275 0.2163 0.0000
0.6772 0.9129 0.5000
0.8228 0.4129 0.5000
0.8725 0.7163 0.0000
0.1054 0.8407 0.5000
0.3946 0.3407 0.5000
0.6054 0.6593 0.5000
0.8946 0.1593 0.5000
0.0000 0.5000 0.0000
0.5000 0.0000 0.0000
```

Calculated values
- Formation energy: -0.415 eV/atom
- SG: Pbam (55)
- Crystal system: orthorhombic
- D(E_F): 0.739 states/eV per atom


NdCu2Pd | PBE | optimized geometry

Cell and atoms, written as POSCAR:
```
NdCu2Pd
1.0
2.2065 -4.9616 0.0000
2.2065 4.9616 0.0000
0.0000 0.0000 6.6673
Nd Cu Pd
2 4 2
direct
0.0899 0.9101 0.7500
0.9101 0.0899 0.2500
0.3796 0.6204 0.5633
0.3796 0.6204 0.9367
0.6204 0.3796 0.0633
0.6204 0.3796 0.4367
0.2044 0.7956 0.2500
0.7956 0.2044 0.7500
```

Calculated values
- Formation energy: -0.392 eV/atom
- SG: Cmcm (63)
- Crystal system: orthorhombic
- D(E_F): 0.424 states/eV per atom